## w
Entry from Alexandria: a relaxed Pr2ZnNi crystal (GGA-PBE).

Unit cell a=5.1258 b=5.1258 c=5.1258 alpha=60.00 beta=60.00 gamma=60.00
Last column: nearest neighbours and their distance in Å.
Sites, in units of the cell vectors:
Pr 0.2500 0.2500 0.2500  4 Ni 3.14, 4 Zn 3.14
Pr 0.7500 0.7500 0.7500  4 Zn 3.14, 4 Ni 3.14
Zn 0.0000 0.0000 0.0000  8 Pr 3.14
Ni 0.5000 0.5000 0.5000  8 Pr 3.14

Computed properties:
N(E_F) = 0.8005 states/eV/atom

---

## x
Entry from Alexandria: a relaxed Pr2ZnNi crystal (GGA-PBE).

Unit cell a=9.6750 b=9.6750 c=9.6750 alpha=24.37 beta=24.37 gamma=24.37
Last column: nearest neighbours and their distance in Å.
Sites, in units of the cell vectors:
Pr 0.1137 0.1137 0.1137  3 Ni 2.79
Pr 0.8863 0.8863 0.8863  3 Ni 2.79
Zn 0.0000 0.0000 0.0000  2 Pr 3.20
Ni 0.5000 0.5000 0.5000  6 Pr 2.79

Computed properties:
N(E_F) = 0.7917 states/eV/atom

---

Stability ranking, top and bottom: w is the most stable and x is the least stable.

---

## w
Entry from Alexandria: a relaxed Pr2ZnNi crystal (GGA-PBE).

Unit cell a=3.6167 b=3.6167 c=7.2719 alpha=90.00 beta=90.00 gamma=90.00
Last column: nearest neighbours and their distance in Å.
Sites, in units of the cell vectors:
Pr 0.0000 0.0000 0.2335  4 Ni 3.07, 4 Zn 3.21, 1 Pr 3.40
Pr 0.0000 0.0000 0.7665  4 Ni 3.07, 4 Zn 3.21, 1 Pr 3.40
Zn 0.5000 0.5000 0.5000  8 Pr 3.21
Ni 0.5000 0.5000 0.0000  8 Pr 3.07

Computed properties:
N(E_F) = 1.0684 states/eV/atom

---

## x
Entry from Alexandria: a relaxed Pr2ZnNi crystal (GGA-PBE).

Unit cell a=6.0487 b=4.5312 c=7.7593 alpha=90.00 beta=112.84 gamma=90.00
Last column: nearest neighbours and their distance in Å.
Sites, in units of the cell vectors:
Pr 0.2103 0.2500 0.4309  3 Ni 2.99-3.07, 3 Zn 3.02-3.11
Pr 0.2385 0.2500 0.9191  3 Ni 2.82-3.12, 3 Zn 3.08-3.10
Pr 0.7615 0.7500 0.0809  3 Ni 2.82-3.12, 3 Zn 3.08-3.10
Pr 0.7897 0.7500 0.5691  3 Ni 2.99-3.07, 3 Zn 3.02-3.11
Zn 0.3423 0.7500 0.2135  2 Ni 2.68
Zn 0.6577 0.2500 0.7865  2 Ni 2.68
Ni 0.4011 0.7500 0.7176  2 Zn 2.68, 2 Pr 2.82-2.99
Ni 0.5989 0.2500 0.2824  2 Zn 2.68, 2 Pr 2.82-2.99

Computed properties:
N(E_F) = 0.8017 states/eV/atom

---

Stability ranking, top and bottom: x is the most stable and w is the least stable.

---

## w
Entry from Alexandria: a relaxed PrZn2Ni4 crystal (GGA-PBE).

Unit cell a=5.1460 b=5.1460 c=5.1460 alpha=120.93 beta=104.25 gamma=103.88
Last column: nearest neighbours and their distance in Å.
Sites, in units of the cell vectors:
Pr 0.0000 0.0000 0.0000  12 Ni 2.77-3.06
Zn 0.5000 0.2498 0.7498  2 Zn 2.53-2.54, 8 Ni 2.62-2.63
Zn 0.5000 0.7502 0.2502  2 Zn 2.53-2.54, 8 Ni 2.62-2.63
Ni 0.0004 0.3094 0.6910  2 Ni 2.41-2.42, 4 Zn 2.62-2.63
Ni 0.9996 0.6906 0.3090  2 Ni 2.41-2.42, 4 Zn 2.62-2.63
Ni 0.3815 0.6906 0.6910  2 Ni 2.41-2.42, 4 Zn 2.62-2.63
Ni 0.6185 0.3094 0.3090  2 Ni 2.41-2.42, 4 Zn 2.62-2.63

Computed properties:
N(E_F) = 0.7557 states/eV/atom

---

## x
Entry from Alexandria: a relaxed PrZn2Ni4 crystal (GGA-PBE).

Unit cell a=5.6201 b=5.6201 c=5.6201 alpha=102.89 beta=102.89 gamma=123.64
Last column: nearest neighbours and their distance in Å.
Sites, in units of the cell vectors:
Pr 0.0000 0.0000 0.0000  8 Ni 3.09
Zn 0.2500 0.7500 0.5000  4 Ni 2.34
Zn 0.7500 0.2500 0.5000  4 Ni 2.34
Ni 0.2755 0.5000 0.7755  2 Ni 2.22, 2 Zn 2.34
Ni 0.5000 0.2755 0.7755  2 Ni 2.22, 2 Zn 2.34
Ni 0.5000 0.7245 0.2245  2 Ni 2.22, 2 Zn 2.34
Ni 0.7245 0.5000 0.2245  2 Ni 2.22, 2 Zn 2.34

Computed properties:
N(E_F) = 1.2284 states/eV/atom

---

Stability ranking, top and bottom: w is the most stable and x is the least stable.

---

## w
Entry from Alexandria: a relaxed PrZn3Ni crystal (GGA-PBE).

Unit cell a=6.4730 b=6.4730 c=6.4730 alpha=122.27 beta=90.37 gamma=117.36
Last column: nearest neighbours and their distance in Å.
Sites, in units of the cell vectors:
Pr 0.3228 0.0728 0.2500  12 Zn 3.28-3.37
Pr 0.6772 0.9272 0.7500  12 Zn 3.28-3.37
Zn 0.1769 0.4269 0.7500  2 Ni 2.33
Zn 0.2097 0.0000 0.7097  2 Ni 2.33
Zn 0.2097 0.5000 0.2097  2 Ni 2.33
Zn 0.7903 0.0000 0.2903  2 Ni 2.33
Zn 0.7903 0.5000 0.7903  2 Ni 2.33
Zn 0.8231 0.5731 0.2500  2 Ni 2.33
Ni 0.0000 0.5000 0.5000  6 Zn 2.33
Ni 0.5000 0.5000 0.0000  6 Zn 2.33

Computed properties:
N(E_F) = 0.6193 states/eV/atom

---

## x
Entry from Alexandria: a relaxed PrZn3Ni crystal (GGA-PBE).

Unit cell a=4.6007 b=4.6007 c=4.6007 alpha=90.00 beta=90.00 gamma=90.00
Last column: nearest neighbours and their distance in Å.
Sites, in units of the cell vectors:
Pr 0.0000 0.0000 0.0000  12 Zn 3.25
Zn 0.0000 0.5000 0.5000  2 Ni 2.30
Zn 0.5000 0.0000 0.5000  2 Ni 2.30
Zn 0.5000 0.5000 0.0000  2 Ni 2.30
Ni 0.5000 0.5000 0.5000  6 Zn 2.30

Computed properties:
N(E_F) = 0.7396 states/eV/atom

---

Stability ranking, top and bottom: w is the most stable and x is the least stable.